Record 1
DFT (PBE-GGA) results for an optimized crystal structure of Sr2ScBr.

It has space group I-4m2 (No. 119), with a = 4.767 Å, b = 4.767 Å, c = 13.669 Å, α = 90.00°, β = 90.00° and γ = 90.00°. The distinct sites, in fractional coordinates, are Sr at (0.000, 0.000, 0.000), Sr at (0.000, 0.500, 0.250), Sc at (0.000, 0.000, 0.500) and Br at (0.000, 0.500, 0.750).

The density of states at the Fermi level is 11.22 states/eV per cell. The total magnetization is 0.2415 μB/atom. The density comes out at 3.2 g cm⁻³. For the offset from the most stable computed form, the calculation gives 385.1 meV/atom. The value obtained for the volume is 38.83 Å³/atom. As for the formation energy without anion corrections: -0.6 eV/f.u.



Record 2
DFT (PBE-GGA) results for an optimized crystal structure of TbAlNiRh.

It has space group F-43m (No. 216), with a = 6.426 Å, b = 6.426 Å, c = 6.426 Å, α = 90.00°, β = 90.00° and γ = 90.00°. The distinct sites, in fractional coordinates, are Tb at (0.000, 0.000, 0.000), Al at (0.000, 0.000, 0.500), Ni at (0.250, 0.250, 0.250) and Rh at (0.250, 0.250, 0.750).

The density of states at the Fermi level is 10.61 states/eV per cell. The total magnetization is 0.0000 μB/atom. The density comes out at 8.7 g cm⁻³. The final energy comes out at -5.9998 eV/atom. The value obtained for the volume is 16.59 Å³/atom.



Record 3
DFT (PBE-GGA) results for an optimized crystal structure of Mn2WCl.

It has space group Imm2 (No. 44), with a = 2.959 Å, b = 3.058 Å, c = 14.383 Å, α = 90.00°, β = 90.00° and γ = 90.00°. The distinct sites, in fractional coordinates, are Mn at (0.000, 0.000, 0.000), Mn at (0.000, 0.500, 0.136), W at (0.000, 0.500, 0.720) and Cl at (0.000, 0.000, 0.370).

The density of states at the Fermi level is 6.49 states/eV per cell. The total magnetization is 0.9975 μB/atom. The density comes out at 8.4 g cm⁻³. For the offset from the most stable computed form, the calculation gives 258.1 meV/atom. The value obtained for the volume is 16.27 Å³/atom. As for the formation energy without anion corrections: 1.7 eV/f.u.



Repeat the second record exactly.
DFT (PBE-GGA) results for an optimized crystal structure of TbAlNiRh.

It has space group F-43m (No. 216), with a = 6.426 Å, b = 6.426 Å, c = 6.426 Å, α = 90.00°, β = 90.00° and γ = 90.00°. The distinct sites, in fractional coordinates, are Tb at (0.000, 0.000, 0.000), Al at (0.000, 0.000, 0.500), Ni at (0.250, 0.250, 0.250) and Rh at (0.250, 0.250, 0.750).

The density of states at the Fermi level is 10.61 states/eV per cell. The total magnetization is 0.0000 μB/atom. The density comes out at 8.7 g cm⁻³. The final energy comes out at -5.9998 eV/atom. The value obtained for the volume is 16.59 Å³/atom.